# 1
Computed, not measured: an optimized crystal structure of Pm7Al2Ge2 at the PBE-GGA level of DFT.

extended XYZ file:
```
11
Lattice="6.827 -0.003 -0.844 0.004 7.299 0.003 -1.267 -0.002 6.761" Properties=species:S:1:pos:R:3 pbc="T T T"
Pm -0.633 2.047 3.381
Pm 3.416 5.250 -0.420
Pm 6.196 5.247 2.539
Pm 2.147 2.044 6.340
Pm 0.000 0.000 0.000
Pm 2.782 5.397 2.961
Pm 2.781 1.897 2.960
Al 4.652 3.645 4.951
Al 0.912 3.649 0.970
Ge 4.524 7.297 1.326
Ge 1.039 -0.002 4.594
```

Results
Its space-group type is Cmmm. The value obtained for the uncorrected energy is -4.8315 eV/atom.


# 2
Computed, not measured: an optimized crystal structure of PmAl2Ge3 at the PBE-GGA level of DFT.

extended XYZ file:
```
12
Lattice="3.932 0.000 0.000 0.000 4.594 0.000 0.000 0.000 13.296" Properties=species:S:1:pos:R:3 pbc="T T T"
Pm 3.732 2.297 6.648
Pm 0.200 0.000 0.000
Al 0.049 0.000 8.969
Al 0.049 0.000 4.327
Al 3.883 2.297 2.321
Al 3.883 2.297 10.975
Ge 1.841 2.297 9.076
Ge 1.787 0.000 6.648
Ge 1.841 2.297 4.220
Ge 2.091 0.000 2.428
Ge 2.145 2.297 0.000
Ge 2.091 0.000 10.868
```

Results
Its space-group type is Pmmn. The value obtained for the uncorrected energy is -4.5536 eV/atom.


# 3
Computed, not measured: an optimized crystal structure of Pm2AlGe3 at the PBE-GGA level of DFT.

extended XYZ file:
```
6
Lattice="4.464 0.000 0.000 0.000 6.135 0.000 -2.232 -3.067 5.318" Properties=species:S:1:pos:R:3 pbc="T T T"
Pm 2.232 0.000 2.031
Pm 0.000 3.067 3.287
Al 0.000 3.067 0.000
Ge 0.000 0.000 3.960
Ge 0.000 0.000 0.000
Ge 2.232 3.067 1.357
```

Results
Its space-group type is Immm. The value obtained for the uncorrected energy is -4.9095 eV/atom.


# 4
Computed, not measured: an optimized crystal structure of Pm5Al3Ge3 at the PBE-GGA level of DFT.

extended XYZ file:
```
11
Lattice="-4.009 -0.851 -0.644 1.847 -9.226 0.695 -2.286 4.946 7.702" Properties=species:S:1:pos:R:3 pbc="T T T"
Pm -2.913 -0.203 5.044
Pm -1.535 -4.927 2.709
Pm -2.121 -1.560 1.904
Pm -3.685 3.209 5.338
Pm -0.647 -7.205 0.189
Al -0.224 -2.178 4.274
Al 0.907 -4.530 0.341
Al -1.122 2.429 3.781
Ge -2.292 -3.224 5.168
Ge -2.796 1.287 2.345
Ge -1.365 -3.619 -0.081
```

Results
Its space-group type is P-62m. The value obtained for the uncorrected energy is -4.6678 eV/atom.


# 5
Computed, not measured: an optimized crystal structure of Pm8AlGe6 at the PBE-GGA level of DFT.

extended XYZ file:
```
15
Lattice="8.914 0.000 0.000 4.457 7.720 0.000 4.457 2.573 6.126" Properties=species:S:1:pos:R:3 pbc="T T T"
Pm 7.688 2.267 1.798
Pm 10.795 2.645 4.328
Pm 5.807 4.769 4.328
Pm 13.371 7.720 6.090
Pm 4.457 2.573 0.036
Pm 12.021 5.524 1.798
Pm 7.033 7.648 1.798
Pm 10.140 8.026 4.328
Al 0.000 0.000 0.000
Ge 7.650 2.526 4.818
Ge 10.551 2.741 1.308
Ge 6.013 4.931 1.308
Ge 11.815 5.362 4.818
Ge 7.277 7.552 4.818
Ge 10.178 7.767 1.308
```

Results
Its space-group type is R-3. The value obtained for the uncorrected energy is -5.2542 eV/atom.


# 6
Computed, not measured: an optimized crystal structure of Pm5AlGe3 at the PBE-GGA level of DFT.

extended XYZ file:
```
18
Lattice="6.425 0.000 0.000 0.000 9.134 0.000 0.000 -4.567 7.909" Properties=species:S:1:pos:R:3 pbc="T T T"
Pm 0.000 4.567 2.636
Pm 3.213 0.000 5.273
Pm 0.000 0.000 5.273
Pm 3.213 4.567 2.636
Pm 4.819 3.291 5.700
Pm 4.819 7.858 2.209
Pm 4.819 2.551 0.000
Pm 1.606 1.276 2.209
Pm 1.606 -3.291 5.700
Pm 1.606 6.582 0.000
Al 0.000 0.000 0.000
Al 3.213 0.000 0.000
Ge 4.819 1.699 2.943
Ge 4.819 6.266 4.966
Ge 4.819 5.735 0.000
Ge 1.606 2.868 4.966
Ge 1.606 -1.699 2.943
Ge 1.606 3.399 0.000
```

Results
Its space-group type is P6_3/mcm. The value obtained for the uncorrected energy is -5.2006 eV/atom.


# 7
Computed, not measured: an optimized crystal structure of PmPrAl2Ge at the PBE-GGA level of DFT.

extended XYZ file:
```
5
Lattice="-3.818 1.549 1.533 0.325 -2.740 3.579 4.853 5.110 0.618" Properties=species:S:1:pos:R:3 pbc="T T T"
Pm 1.406 0.437 3.060
Pr 2.760 4.010 2.820
Al -0.836 2.335 1.863
Al 0.283 0.411 0.289
Ge 0.426 2.561 4.775
```

Results
Its space-group type is Imm2. The value obtained for the uncorrected energy is -4.7790 eV/atom.


# 8
Computed, not measured: an optimized crystal structure of Pm2AlGePt6 at the PBE-GGA level of DFT.

extended XYZ file:
```
10
Lattice="5.492 0.017 -0.001 -0.025 8.451 0.220 2.735 4.279 4.464" Properties=species:S:1:pos:R:3 pbc="T T T"
Pm 2.722 8.817 2.449
Pm 5.481 3.929 2.234
Al 2.734 4.234 0.110
Ge 0.000 0.000 0.000
Pt 4.084 10.603 4.571
Pt 6.840 10.612 4.573
Pt 2.728 5.466 2.301
Pt 4.118 2.143 0.113
Pt 1.362 2.134 0.110
Pt 5.474 7.280 2.382
```

Results
Its space-group type is C2/m. The value obtained for the uncorrected energy is -6.2864 eV/atom.